This record from Alexandria via LeMat-Bulk describes an optimized crystal structure of CdTe2Mo. The functional is PBE.

Structure (CIF):
```
data_CdTe2Mo
_chemical_formula_sum 'Cd1 Te2 Mo1'
_cell_length_a 3.286
_cell_length_b 3.282
_cell_length_c 9.666
_cell_angle_alpha 90.00
_cell_angle_beta 90.16
_cell_angle_gamma 90.00
_space_group_name_H-M_alt 'P 1 2/m 1'
_space_group_IT_number 10
_space_group_name_Hall '-P 2y'
loop_
_atom_site_label
_atom_site_type_symbol
_atom_site_fract_x
_atom_site_fract_y
_atom_site_fract_z
Cd1 Cd 0.000 0.000 0.000
Te1 Te 0.499 0.500 0.326
Mo1 Mo 0.000 0.000 0.500
```

VASP energy: -4.479 eV per atom
magnetization: 0.000 μB/f.u.
raw formation energy: 0.03 eV per atom
Fermi-level density of states: 1.659 states/eV per cell